[1]
Material: Ca2LaOs
Method: DFT, PBE
State: relaxed

The calculation puts the energy above the most stable polymorph in this dataset at 0.259 eV per atom. The energy of formation from the pure elements is 0.37 eV/atom.

Cell and atoms, written as POSCAR:
```
Ca2LaOs
1.0
6.1824 0.0048 0.0000
2.9905 5.4110 0.0000
-4.5865 -2.7079 3.1391
Ca Os La
2 1 1
Cartesian
0.0000 0.0000 0.0000 Ca
4.5865 2.7079 0.0000 Ca
3.0912 0.0024 1.5695 Os
1.4953 2.7055 1.5695 La
```

=====

[2]
Material: CsTl2Hg
Method: DFT, PBE
State: relaxed

The calculation puts the energy above the most stable polymorph in this dataset at 0.097 eV per atom. The energy of formation from the pure elements is -0.01 eV/atom.

Cell and atoms, written as POSCAR:
```
CsTl2Hg
1.0
5.7159 0.0000 0.0000
0.0000 5.7159 0.0000
2.8579 2.8579 11.4626
Cs Tl Hg
2 4 2
Cartesian
2.8579 2.8579 0.0000 Cs
2.8579 5.7159 5.7313 Cs
5.1777 1.4290 2.8657 Tl
6.2540 4.2869 2.8657 Tl
4.2869 3.3961 8.5970 Tl
7.1449 2.3198 8.5970 Tl
0.0000 0.0000 0.0000 Hg
5.7159 2.8579 5.7313 Hg
```

=====

[3]
Material: ScH2AuSe
Method: DFT, PBE
State: relaxed

The calculation puts the total energy at -4.2680 eV per atom.

Cell and atoms, written as POSCAR:
```
ScH2AuSe
1.0
3.6559 0.0000 0.0000
0.0000 6.3764 0.0000
0.0000 0.0000 3.6559
Sc H Au Se
1 2 1 1
Cartesian
1.8279 3.1882 1.8279 Sc
0.0000 0.0000 1.8279 H
1.8279 0.0000 0.0000 H
0.0000 0.0000 0.0000 Au
0.0000 3.1882 0.0000 Se
```

=====

[4]
Material: Nb3VTe6
Method: DFT, PBE
State: relaxed

As for the uncorrected formation energy: -0.155 eV/atom.

Cell and atoms, written as POSCAR:
```
Nb3VTe6
1.0
-3.2756 -5.3712 2.2067
7.3560 -2.7276 4.2800
-3.9319 4.9827 6.2915
Nb V Te
6 2 12
Cartesian
-4.1047 1.5288 5.4938 Nb
2.4372 -6.7440 5.1395 Nb
-0.8670 -0.2113 6.4067 Nb
-0.0162 -4.5967 7.0666 Nb
3.3328 -6.1542 7.9045 Nb
-3.2091 2.1186 8.2587 Nb
-1.8486 2.6549 6.1132 V
2.8559 -4.3628 6.0864 V
1.9655 -0.2085 7.3592 Te
-0.7355 -2.1678 8.6520 Te
-0.4507 1.9468 8.1925 Te
2.2368 -3.6932 8.5251 Te
-3.8509 4.2593 6.4195 Te
-3.5529 -0.5213 7.3428 Te
4.0987 -1.9435 5.1678 Te
5.0621 -5.6330 5.6428 Te
-1.7915 1.0638 4.0531 Te
0.8961 -4.5762 4.3857 Te
0.9122 -0.9022 4.1072 Te
-1.7888 -2.8615 5.4000 Te
```